Record 1
The following is a DFT calculation (PBE) of an optimized crystal structure of AcPa2O4.

Structure (POSCAR):
```
AcPa2O4
1.0
5.1054 -5.1073 0.0000
-5.1054 0.0000 -5.1073
5.1054 5.1073 0.0000
Pa Ac O
4 2 8
Cartesian
1.2763 1.2768 -3.8305
6.3818 -1.2768 -1.2768
-1.2764 -1.2768 -3.8305
3.8291 1.2768 -1.2768
2.5527 -2.5537 -2.5537
0.0000 0.0000 0.0000
-1.1221 1.1221 -3.9852
3.6748 3.6758 -1.4316
1.4306 3.6758 -3.6758
1.1221 -1.1221 -3.9852
6.2275 1.1221 -1.1221
3.9833 -1.1221 -1.1221
1.4306 1.4316 -1.4316
3.6748 1.4316 -3.6758
```

As for the space group: No. 227. The calculated total energy comes out at -0.3087 Ha/atom.

Record 2
The following is a DFT calculation (PBE) of an optimized crystal structure of FeCuSbMo.

Structure (POSCAR):
```
FeCuSbMo
1.0
3.9168 1.5099 1.4093
0.3719 4.1628 1.4629
0.6507 0.7825 4.3095
Cu Sb Mo Fe
1 1 1 1
Cartesian
3.7046 4.8414 5.3862
0.0000 0.0000 0.0000
1.2349 1.6138 1.7954
2.4698 3.2276 3.5908
```

The calculation puts the distance to the lowest polymorph of the same formula at 0 meV per atom. As for the space group: No. 216. The calculated total energy comes out at -0.2347 Ha/atom.

Record 3
The following is a DFT calculation (PBE) of an optimized crystal structure of Hf4Zr2S3N3.

Structure (POSCAR):
```
Hf4Zr2S3N3
1.0
-2.7785 4.2912 2.7256
-2.2846 -0.8985 5.2476
12.0041 2.3211 2.4252
S N Hf Zr
6 6 8 4
Cartesian
0.2612 4.4652 3.5294
7.2665 3.2996 4.2353
1.3485 1.2560 3.4518
6.6799 1.2487 6.8690
5.5925 4.4579 6.9466
-0.3255 2.4143 6.1631
-1.3893 2.1456 1.3628
-3.1086 3.3653 4.0246
-1.9544 0.0275 3.9486
4.8598 0.7113 3.8364
3.1541 1.7868 6.5683
3.7869 3.9271 3.8301
3.2742 3.6163 7.8707
0.5484 1.0850 0.9362
6.6388 1.3174 2.5998
0.3022 4.3964 7.7986
6.3926 4.6289 9.4622
9.7484 2.4226 4.1463
3.6668 2.0975 2.5277
-2.8074 3.2912 6.2521
-1.1364 2.1860 3.6504
8.0774 3.5279 6.7480
1.9958 3.2028 5.1294
4.9452 2.5110 5.2690
```

As for the space group: No. 15. The calculated total energy comes out at -0.3459 Ha/atom.

Record 4
The following is a DFT calculation (PBE) of an optimized crystal structure of CsNaPr.

Structure (POSCAR):
```
CsNaPr
1.0
0.0000 4.3771 4.3771
4.3771 0.0000 4.3771
4.3771 4.3771 0.0000
Pr Cs Na
1 1 1
Cartesian
0.0000 0.0000 0.0000
4.3771 4.3771 4.3771
2.1886 2.1886 2.1886
```

The calculation puts the distance to the lowest polymorph of the same formula at 0 meV per atom. As for the space group: No. 216. The calculated total energy comes out at -0.0549 Ha/atom.

Record 5
The following is a DFT calculation (PBE) of an optimized crystal structure of CdTePbO.

Structure (POSCAR):
```
CdTePbO
1.0
4.1134 0.0000 0.0000
0.0000 4.1134 0.0000
0.0000 0.0000 11.8819
Te O Cd Pb
2 2 2 2
Cartesian
3.0850 3.0850 9.8399
1.0284 1.0284 2.0420
1.0284 1.0284 5.0184
3.0850 3.0850 6.8635
3.0850 1.0284 0.0000
1.0284 3.0850 0.0000
3.0850 3.0850 4.6992
1.0284 1.0284 7.1827
```

The calculation puts the distance to the lowest polymorph of the same formula at 211 meV per atom. As for the space group: No. 129. The calculated total energy comes out at -0.1339 Ha/atom.

Record 6
The following is a DFT calculation (PBE) of an optimized crystal structure of TbScW2C3.

Structure (POSCAR):
```
TbScW2C3
1.0
-2.9291 4.2540 -3.0580
-2.4614 1.8039 -5.1686
-3.6272 -3.1683 2.8741
Sc C W Tb
1 3 2 1
Cartesian
-2.6609 1.8102 -2.6910
-4.0421 -0.8238 0.0606
-5.4268 5.9984 -8.1657
-5.0241 3.7524 -5.4692
-2.0340 -0.0972 -0.3379
-7.0131 2.9972 -5.0332
-6.2423 1.0894 -2.6479
```

As for the space group: No. 8. The calculated total energy comes out at -0.3517 Ha/atom.

Record 7
The following is a DFT calculation (PBE) of an optimized crystal structure of NbTlFePt.

Structure (POSCAR):
```
NbTlFePt
1.0
0.0000 3.2399 3.2399
3.2399 0.0000 3.2399
3.2399 3.2399 0.0000
Tl Pt Nb Fe
1 1 1 1
Cartesian
0.0000 0.0000 0.0000
1.6200 1.6200 1.6200
3.2399 3.2399 3.2399
4.8599 4.8599 4.8599
```

The calculation puts the distance to the lowest polymorph of the same formula at 0 meV per atom. As for the space group: No. 216. The calculated total energy comes out at -0.2425 Ha/atom.

Record 8
The following is a DFT calculation (PBE) of an optimized crystal structure of NdHoSi2Os.

Structure (POSCAR):
```
NdHoSi2Os
1.0
-2.1680 5.5196 -0.5181
-2.3433 4.1967 3.5116
10.1024 -1.1966 0.0466
Ho Nd Si Os
2 2 4 2
Cartesian
0.2462 7.5164 2.4783
5.3449 1.0033 0.5619
3.8195 8.5860 2.9849
1.7716 -0.0663 0.0553
7.8953 2.2288 1.0752
1.5473 4.3874 1.5077
-2.3042 6.2909 1.9650
4.0438 4.1323 1.5325
0.0484 2.5151 0.8278
5.5427 6.0045 2.2124
```

As for the space group: No. 12. The calculated total energy comes out at -0.2574 Ha/atom.

- Number 1 is which compound?
  AcPa2O4

- Among the records above, which one has the lowest calculated total energy?
  TbScW2C3

- calculated total energy of number 4 (CsNaPr)?
  -0.0549 Ha/atom

- calculated total energy of number 8 (NdHoSi2Os)?
  -0.2574 Ha/atom